No. 1
DFT (PBE) results for an optimized crystal structure of BeTe2Ir.

- Electronic total energy: -4.05 eV per atom
- Raw formation energy: 0.67 eV/atom
- Calculated density: 9020 kg/m3
- N(E_F): 2.25 states/eV per cell

abc: 3.7419 3.7678 5.9598
angles: 90.00 90.00 90.00
Positions (direct):
Be 0.0000 0.0000 0.0000
Te 0.5000 0.0000 0.5000
Te 0.5000 0.5000 0.0000
Ir 0.0000 0.5000 0.5000



No. 2
DFT (PBE) results for an optimized crystal structure of SrMgAl2.

- Electronic total energy: -2.83 eV per atom
- Calculated density: 2750 kg/m3
- N(E_F): 3.44 states/eV per cell
- ΔH_f (0 K): -0.1407 eV per atom

abc: 6.1633 6.1633 7.0857
angles: 90.00 90.00 131.89
Positions (direct):
Sr 0.0996 0.9004 0.7500
Sr 0.9004 0.0996 0.2500
Mg 0.2034 0.7966 0.2500
Mg 0.7966 0.2034 0.7500
Al 0.3878 0.6122 0.5613
Al 0.3878 0.6122 0.9387
Al 0.6122 0.3878 0.0613
Al 0.6122 0.3878 0.4387



No. 3
DFT (PBE) results for an optimized crystal structure of Ac2TlHg2.

- Electronic total energy: -2.65 eV per atom
- Calculated density: 10644 kg/m3
- Excess energy over the best structure of this formula in the dataset: 0.000 eV/atom
- N(E_F): 9.63 states/eV per cell
- ΔH_f (0 K): -0.4170 eV per atom

abc: 8.8076 8.8076 4.2619
angles: 90.00 90.00 90.00
Positions (direct):
Ac 0.1749 0.3251 0.0000
Ac 0.3251 0.8251 0.0000
Ac 0.6749 0.1749 0.0000
Ac 0.8251 0.6749 0.0000
Tl 0.0000 0.0000 0.5000
Tl 0.5000 0.5000 0.5000
Hg 0.1242 0.6242 0.5000
Hg 0.3758 0.1242 0.5000
Hg 0.6242 0.8758 0.5000
Hg 0.8758 0.3758 0.5000



No. 4
DFT (PBE) results for an optimized crystal structure of Cs3NaU2Se6.

- Electronic total energy: -5.21 eV per atom
- Raw formation energy: -1.26 eV/atom
- Calculated density: 5560 kg/m3
- N(E_F): 9.36 states/eV per cell

abc: 7.5369 7.5369 8.6903
angles: 98.23 98.23 120.00
Positions (direct):
Cs 0.0000 0.0000 0.0000
Cs 0.3434 0.6566 0.0000
Cs 0.6566 0.3434 0.0000
Na 0.5000 0.5000 0.5000
U 0.1674 0.8326 0.5000
U 0.8326 0.1674 0.5000
Se 0.0759 0.4377 0.3124
Se 0.2020 0.2020 0.6820
Se 0.4377 0.0759 0.3124
Se 0.5623 0.9241 0.6876
Se 0.7980 0.7980 0.3180
Se 0.9241 0.5623 0.6876



No. 5
DFT (PBE) results for an optimized crystal structure of CaTePb2.

- Electronic total energy: -3.70 eV per atom
- Raw formation energy: -0.56 eV/atom
- Calculated density: 7216 kg/m3
- Excess energy over the best structure of this formula in the dataset: 0.000 eV/atom
- N(E_F): 2.22 states/eV per cell

abc: 4.3667 4.3667 7.0242
angles: 90.00 90.00 90.00
Positions (direct):
Ca 0.0000 0.0000 0.0000
Te 0.5000 0.5000 0.9117
Pb 0.0000 0.0000 0.5078
Pb 0.5000 0.5000 0.3514



No. 6
DFT (PBE) results for an optimized crystal structure of VCo15Ni4.

- Electronic total energy: -6.96 eV per atom
- Calculated density: 8867 kg/m3
- N(E_F): 22.47 states/eV per cell
- ΔH_f (0 K): -0.0180 eV per atom

abc: 3.5310 3.5310 17.5685
angles: 90.00 90.00 90.00
Positions (direct):
V 0.0000 0.0000 0.0000
Co 0.0000 0.5000 0.1017
Co 0.0000 0.5000 0.3003
Co 0.0000 0.5000 0.5000
Co 0.0000 0.5000 0.6997
Co 0.0000 0.5000 0.8983
Co 0.5000 0.0000 0.1017
Co 0.5000 0.0000 0.3003
Co 0.5000 0.0000 0.5000
Co 0.5000 0.0000 0.6997
Co 0.5000 0.0000 0.8983
Co 0.5000 0.5000 0.0000
Co 0.5000 0.5000 0.2003
Co 0.5000 0.5000 0.4004
Co 0.5000 0.5000 0.5996
Co 0.5000 0.5000 0.7997
Ni 0.0000 0.0000 0.2011
Ni 0.0000 0.0000 0.4002
Ni 0.0000 0.0000 0.5998
Ni 0.0000 0.0000 0.7989



No. 7
DFT (PBE) results for an optimized crystal structure of KCu2Au2.

- Electronic total energy: -3.20 eV per atom
- Calculated density: 10095 kg/m3
- Excess energy over the best structure of this formula in the dataset: 0.000 eV/atom
- N(E_F): 3.49 states/eV per cell
- ΔH_f (0 K): -0.0291 eV per atom

abc: 8.0696 8.0696 2.8298
angles: 90.00 90.00 90.00
Positions (direct):
K 0.0000 0.0000 0.0000
K 0.5000 0.5000 0.0000
Cu 0.1118 0.3882 0.0000
Cu 0.3882 0.8882 0.0000
Cu 0.6118 0.1118 0.0000
Cu 0.8882 0.6118 0.0000
Au 0.1792 0.6792 0.5000
Au 0.3208 0.1792 0.5000
Au 0.6792 0.8208 0.5000
Au 0.8208 0.3208 0.5000



No. 8
DFT (PBE) results for an optimized crystal structure of Ce3GaRh2.

- Electronic total energy: -6.56 eV per atom
- Calculated density: 8837 kg/m3
- N(E_F): 20.30 states/eV per cell
- ΔH_f (0 K): -0.6402 eV per atom

abc: 4.8548 14.0797 3.8258
angles: 90.00 90.00 90.00
Positions (direct):
Ce 0.2500 0.0566 0.1052
Ce 0.2500 0.4434 0.1052
Ce 0.2500 0.7500 0.9322
Ce 0.7500 0.2500 0.0678
Ce 0.7500 0.5566 0.8948
Ce 0.7500 0.9434 0.8948
Ga 0.2500 0.2500 0.5781
Ga 0.7500 0.7500 0.4219
Rh 0.2500 0.6126 0.4674
Rh 0.2500 0.8874 0.4674
Rh 0.7500 0.1126 0.5326
Rh 0.7500 0.3874 0.5326